# K3ZnHg2F9 (PBE, relaxed)
data_K3ZnHg2F9
_cell_length_a 6.2692
_cell_length_b 6.2692
_cell_length_c 7.6762
_cell_angle_alpha 90.00
_cell_angle_beta 90.00
_cell_angle_gamma 120.00
_symmetry_space_group_name_H-M 'P -3 m 1'
_symmetry_Int_Tables_number 164
_symmetry_space_group_name_Hall '-P 3 2"'
loop_
_atom_site_label
_atom_site_fract_x
_atom_site_fract_y
_atom_site_fract_z
_atom_site_occupancy
K1 0.0000 0.0000 0.0000 1
K2 0.3333 0.6667 0.6744 1
Zn1 0.0000 0.0000 0.5000 1
Hg1 0.3333 0.6667 0.1849 1
F1 0.0000 0.5000 0.0000 1
F2 0.1546 0.3092 0.3467 1
# electronic total energy: -54.35 eV for the cell shown
# density: 4.80 Mg/m³
# energy relative to the elements, uncorrected: -2156 meV per atom

***

# K2ZnHg3F12 (PBE, relaxed)
data_K2ZnHg3F12
_cell_length_a 7.8997
_cell_length_b 7.8997
_cell_length_c 19.1155
_cell_angle_alpha 90.00
_cell_angle_beta 90.00
_cell_angle_gamma 120.00
_symmetry_space_group_name_H-M 'R -3 m'
_symmetry_Int_Tables_number 166
_symmetry_space_group_name_Hall '-R 3 2"'
loop_
_atom_site_label
_atom_site_fract_x
_atom_site_fract_y
_atom_site_fract_z
_atom_site_occupancy
K1 0.0000 0.0000 0.1098 1
Zn1 0.0000 0.0000 0.5000 1
Hg1 0.0000 0.5000 0.0000 1
F1 0.0375 0.5188 0.3712 1
F2 0.0890 0.5445 0.1100 1
# electronic total energy: -174.14 eV for the cell shown
# density: 4.69 Mg/m³
# energy relative to the elements, uncorrected: -1734 meV per atom
# density of states at the Fermi level: 30.4 states/eV per cell

***

# K4Zn3HgF12 (PBE, relaxed)
data_K4Zn3HgF12
_cell_length_a 8.501
_cell_length_b 8.501
_cell_length_c 8.501
_cell_angle_alpha 90.00
_cell_angle_beta 90.00
_cell_angle_gamma 90.00
_symmetry_space_group_name_H-M 'I m -3 m'
_symmetry_Int_Tables_number 229
_symmetry_space_group_name_Hall '-I 4 2 3'
loop_
_atom_site_label
_atom_site_fract_x
_atom_site_fract_y
_atom_site_fract_z
_atom_site_occupancy
K1 0.250 0.250 0.250 1
Zn1 0.000 0.000 0.500 1
Hg1 0.000 0.000 0.000 1
F1 0.000 0.000 0.267 1
F2 0.000 0.250 0.500 1
# electronic total energy: -157.97 eV for the cell shown
# density: 4.22 Mg/m³
# energy relative to the elements, uncorrected: -2401 meV per atom
# density of states at the Fermi level: 0.0 states/eV per cell

***

# LaHg2F (PBE, relaxed)
data_LaHg2F
_cell_length_a 10.048
_cell_length_b 10.048
_cell_length_c 4.583
_cell_angle_alpha 90.00
_cell_angle_beta 90.00
_cell_angle_gamma 90.00
_symmetry_space_group_name_H-M 'I -4 2 d'
_symmetry_Int_Tables_number 122
_symmetry_space_group_name_Hall 'I -4 2bw'
loop_
_atom_site_label
_atom_site_fract_x
_atom_site_fract_y
_atom_site_fract_z
_atom_site_occupancy
La1 0.000 0.000 0.000 1
Hg1 0.161 0.250 0.625 1
F1 0.000 0.000 0.500 1
# electronic total energy: -49.75 eV for the cell shown
# energy above the most stable polymorph in this dataset: 0.000 eV per atom
# density: 8.03 Mg/m³
# energy relative to the elements, uncorrected: -1259 meV per atom
# density of states at the Fermi level: 9.5 states/eV per cell

***

# La2HgF (PBE, relaxed)
data_La2HgF
_cell_length_a 6.128
_cell_length_b 6.128
_cell_length_c 13.531
_cell_angle_alpha 90.00
_cell_angle_beta 90.00
_cell_angle_gamma 90.00
_symmetry_space_group_name_H-M 'I -4 2 d'
_symmetry_Int_Tables_number 122
_symmetry_space_group_name_Hall 'I -4 2bw'
loop_
_atom_site_label
_atom_site_fract_x
_atom_site_fract_y
_atom_site_fract_z
_atom_site_occupancy
La1 0.172 0.250 0.125 1
Hg1 0.000 0.000 0.500 1
F1 0.000 0.000 0.000 1
# electronic total energy: -68.38 eV for the cell shown
# energy above the most stable polymorph in this dataset: 0.131 eV per atom
# density: 6.50 Mg/m³
# energy relative to the elements, uncorrected: -1267 meV per atom
# density of states at the Fermi level: 12.6 states/eV per cell

***

# La2HgF (PBE, relaxed)
data_La2HgF
_cell_length_a 4.0302
_cell_length_b 4.0302
_cell_length_c 22.2147
_cell_angle_alpha 90.00
_cell_angle_beta 90.00
_cell_angle_gamma 120.00
_symmetry_space_group_name_H-M 'R -3 m'
_symmetry_Int_Tables_number 166
_symmetry_space_group_name_Hall '-R 3 2"'
loop_
_atom_site_label
_atom_site_fract_x
_atom_site_fract_y
_atom_site_fract_z
_atom_site_occupancy
La1 0.0000 0.0000 0.2302 1
Hg1 0.0000 0.0000 0.0000 1
F1 0.0000 0.0000 0.5000 1
# electronic total energy: -52.85 eV for the cell shown
# energy above the most stable polymorph in this dataset: 0.000 eV per atom
# density: 7.93 Mg/m³
# energy relative to the elements, uncorrected: -1397 meV per atom
# density of states at the Fermi level: 13.8 states/eV per cell

***

# La2HgF (PBE, relaxed)
data_La2HgF
_cell_length_a 7.512
_cell_length_b 7.512
_cell_length_c 7.512
_cell_angle_alpha 90.00
_cell_angle_beta 90.00
_cell_angle_gamma 90.00
_symmetry_space_group_name_H-M 'F m -3 m'
_symmetry_Int_Tables_number 225
_symmetry_space_group_name_Hall '-F 4 2 3'
loop_
_atom_site_label
_atom_site_fract_x
_atom_site_fract_y
_atom_site_fract_z
_atom_site_occupancy
La1 0.250 0.250 0.250 1
Hg1 0.000 0.000 0.000 1
F1 0.000 0.000 0.500 1
# electronic total energy: -65.11 eV for the cell shown
# energy above the most stable polymorph in this dataset: 0.335 eV per atom
# density: 7.79 Mg/m³
# energy relative to the elements, uncorrected: -1062 meV per atom
# density of states at the Fermi level: 24.5 states/eV per cell

***

# LaHg2F8 (PBE, relaxed)
data_LaHg2F8
_cell_length_a 5.817
_cell_length_b 5.817
_cell_length_c 11.484
_cell_angle_alpha 90.00
_cell_angle_beta 90.00
_cell_angle_gamma 90.00
_symmetry_space_group_name_H-M 'I 4 2 2'
_symmetry_Int_Tables_number 97
_symmetry_space_group_name_Hall 'I 4 2'
loop_
_atom_site_label
_atom_site_fract_x
_atom_site_fract_y
_atom_site_fract_z
_atom_site_occupancy
La1 0.000 0.000 0.000 1
Hg1 0.000 0.500 0.250 1
F1 0.183 0.282 0.874 1
# electronic total energy: -90.69 eV for the cell shown
# density: 5.92 Mg/m³
# energy relative to the elements, uncorrected: -2259 meV per atom
# density of states at the Fermi level: 13.0 states/eV per cell

***

# La2HgF8 (PBE, relaxed)
data_La2HgF8
_cell_length_a 15.196
_cell_length_b 3.931
_cell_length_c 5.737
_cell_angle_alpha 90.00
_cell_angle_beta 110.77
_cell_angle_gamma 90.00
_symmetry_space_group_name_H-M 'C 1 2/m 1'
_symmetry_Int_Tables_number 12
loop_
_symmetry_equiv_pos_as_xyz
'x,y,z'
'-x,-y,-z'
'-x,y,-z'
'x,-y,z'
'x+1/2,y+1/2,z'
'-x+1/2,-y+1/2,-z'
'-x+1/2,y+1/2,-z'
'x+1/2,-y+1/2,z'
loop_
_atom_site_label
_atom_site_fract_x
_atom_site_fract_y
_atom_site_fract_z
_atom_site_occupancy
La1 0.173 0.000 0.179 1
Hg1 0.000 0.500 0.500 1
F1 0.036 0.000 0.307 1
F2 0.095 0.500 0.935 1
F3 0.178 0.500 0.458 1
F4 0.219 0.000 0.825 1
# electronic total energy: -125.04 eV for the cell shown
# density: 6.53 Mg/m³
# energy relative to the elements, uncorrected: -3399 meV per atom
# density of states at the Fermi level: 0.0 states/eV per cell

***

# La3HgF (PBE, relaxed)
data_La3HgF
_cell_length_a 5.129
_cell_length_b 5.129
_cell_length_c 5.129
_cell_angle_alpha 90.00
_cell_angle_beta 90.00
_cell_angle_gamma 90.00
_symmetry_space_group_name_H-M 'P m -3 m'
_symmetry_Int_Tables_number 221
_symmetry_space_group_name_Hall '-P 4 2 3'
loop_
_atom_site_label
_atom_site_fract_x
_atom_site_fract_y
_atom_site_fract_z
_atom_site_occupancy
La1 0.000 0.000 0.500 1
Hg1 0.500 0.500 0.500 1
F1 0.000 0.000 0.000 1
# electronic total energy: -22.55 eV for the cell shown
# energy above the most stable polymorph in this dataset: 0.000 eV per atom
# density: 7.83 Mg/m³
# energy relative to the elements, uncorrected: -1118 meV per atom
# density of states at the Fermi level: 4.3 states/eV per cell

***

# La4Hg2F (PBE, relaxed)
data_La4Hg2F
_cell_length_a 5.084
_cell_length_b 5.084
_cell_length_c 16.239
_cell_angle_alpha 90.00
_cell_angle_beta 90.00
_cell_angle_gamma 90.00
_symmetry_space_group_name_H-M 'I 4/m m m'
_symmetry_Int_Tables_number 139
_symmetry_space_group_name_Hall '-I 4 2'
loop_
_atom_site_label
_atom_site_fract_x
_atom_site_fract_y
_atom_site_fract_z
_atom_site_occupancy
La1 0.000 0.000 0.185 1
La2 0.000 0.500 0.000 1
Hg1 0.000 0.000 0.372 1
F1 0.000 0.000 0.000 1
# electronic total energy: -57.33 eV for the cell shown
# density: 7.72 Mg/m³
# energy relative to the elements, uncorrected: -925 meV per atom
# density of states at the Fermi level: 13.3 states/eV per cell

***

# LaHgF5 (PBE, relaxed)
data_LaHgF5
_cell_length_a 9.837
_cell_length_b 7.605
_cell_length_c 8.192
_cell_angle_alpha 90.00
_cell_angle_beta 113.73
_cell_angle_gamma 90.00
_symmetry_space_group_name_H-M 'C 1 2/c 1'
_symmetry_Int_Tables_number 15
loop_
_symmetry_equiv_pos_as_xyz
'x,y,z'
'-x,-y,-z'
'-x,y,-z+1/2'
'x,-y,z+1/2'
'x+1/2,y+1/2,z'
'-x+1/2,-y+1/2,-z'
'-x+1/2,y+1/2,-z+1/2'
'x+1/2,-y+1/2,z+1/2'
loop_
_atom_site_label
_atom_site_fract_x
_atom_site_fract_y
_atom_site_fract_z
_atom_site_occupancy
La1 0.000 0.044 0.250 1
Hg1 0.000 0.500 0.000 1
F1 0.000 0.359 0.250 1
F2 0.007 0.172 0.966 1
F3 0.246 0.474 0.629 1
# electronic total energy: -140.76 eV for the cell shown
# density: 5.14 Mg/m³
# energy relative to the elements, uncorrected: -2943 meV per atom
# density of states at the Fermi level: 0.0 states/eV per cell

***

# LaHg2F (PBE, relaxed)
data_LaHg2F
_cell_length_a 7.343
_cell_length_b 7.343
_cell_length_c 7.343
_cell_angle_alpha 90.00
_cell_angle_beta 90.00
_cell_angle_gamma 90.00
_symmetry_space_group_name_H-M 'F m -3 m'
_symmetry_Int_Tables_number 225
_symmetry_space_group_name_Hall '-F 4 2 3'
loop_
_atom_site_label
_atom_site_fract_x
_atom_site_fract_y
_atom_site_fract_z
_atom_site_occupancy
La1 0.000 0.000 0.000 1
Hg1 0.250 0.250 0.250 1
F1 0.000 0.000 0.500 1
# electronic total energy: -42.53 eV for the cell shown
# energy above the most stable polymorph in this dataset: 0.451 eV per atom
# density: 9.38 Mg/m³
# energy relative to the elements, uncorrected: -807 meV per atom
# density of states at the Fermi level: 14.4 states/eV per cell

***

# LaHgF3 (PBE, relaxed)
data_LaHgF3
_cell_length_a 4.705
_cell_length_b 4.705
_cell_length_c 4.705
_cell_angle_alpha 90.00
_cell_angle_beta 90.00
_cell_angle_gamma 90.00
_symmetry_space_group_name_H-M 'P m -3 m'
_symmetry_Int_Tables_number 221
_symmetry_space_group_name_Hall '-P 4 2 3'
loop_
_atom_site_label
_atom_site_fract_x
_atom_site_fract_y
_atom_site_fract_z
_atom_site_occupancy
La1 0.000 0.000 0.000 1
Hg1 0.500 0.500 0.500 1
F1 0.000 0.500 0.500 1
# electronic total energy: -19.28 eV for the cell shown
# energy above the most stable polymorph in this dataset: 1.511 eV per atom
# density: 6.32 Mg/m³
# energy relative to the elements, uncorrected: -1687 meV per atom
# density of states at the Fermi level: 8.8 states/eV per cell

***

# LaHgF (PBE, relaxed)
data_LaHgF
_cell_length_a 7.468
_cell_length_b 4.242
_cell_length_c 9.436
_cell_angle_alpha 90.00
_cell_angle_beta 104.96
_cell_angle_gamma 90.00
_symmetry_space_group_name_H-M 'C 1 2/m 1'
_symmetry_Int_Tables_number 12
loop_
_symmetry_equiv_pos_as_xyz
'x,y,z'
'-x,-y,-z'
'-x,y,-z'
'x,-y,z'
'x+1/2,y+1/2,z'
'-x+1/2,-y+1/2,-z'
'-x+1/2,y+1/2,-z'
'x+1/2,-y+1/2,z'
loop_
_atom_site_label
_atom_site_fract_x
_atom_site_fract_y
_atom_site_fract_z
_atom_site_occupancy
La1 0.105 0.000 0.309 1
Hg1 0.136 0.500 0.910 1
F1 0.194 0.000 0.582 1
# electronic total energy: -51.48 eV for the cell shown
# density: 8.24 Mg/m³
# energy relative to the elements, uncorrected: -1923 meV per atom
# density of states at the Fermi level: 3.4 states/eV per cell

***

# LaHgF3 (PBE, relaxed)
data_LaHgF3
_cell_length_a 4.749
_cell_length_b 4.749
_cell_length_c 4.749
_cell_angle_alpha 90.00
_cell_angle_beta 90.00
_cell_angle_gamma 90.00
_symmetry_space_group_name_H-M 'P m -3 m'
_symmetry_Int_Tables_number 221
_symmetry_space_group_name_Hall '-P 4 2 3'
loop_
_atom_site_label
_atom_site_fract_x
_atom_site_fract_y
_atom_site_fract_z
_atom_site_occupancy
La1 0.000 0.000 0.000 1
Hg1 0.500 0.500 0.500 1
F1 0.000 0.000 0.500 1
# electronic total energy: -26.83 eV for the cell shown
# energy above the most stable polymorph in this dataset: 0.000 eV per atom
# density: 6.15 Mg/m³
# energy relative to the elements, uncorrected: -3198 meV per atom
# density of states at the Fermi level: 0.0 states/eV per cell

***

# Na2LaHgF8 (PBE, relaxed)
data_Na2LaHgF8
_cell_length_a 4.018
_cell_length_b 5.575
_cell_length_c 8.088
_cell_angle_alpha 87.60
_cell_angle_beta 89.78
_cell_angle_gamma 87.01
_symmetry_space_group_name_H-M 'P -1'
_symmetry_Int_Tables_number 2
loop_
_symmetry_equiv_pos_as_xyz
'x,y,z'
'-x,-y,-z'
loop_
_atom_site_label
_atom_site_fract_x
_atom_site_fract_y
_atom_site_fract_z
_atom_site_occupancy
Na1 0.004 0.494 0.245 1
La1 0.500 0.000 0.500 1
Hg1 0.500 0.000 0.000 1
F1 0.002 0.761 0.469 1
F2 0.070 0.237 0.013 1
F3 0.456 0.788 0.225 1
F4 0.473 0.732 0.730 1
# electronic total energy: -55.05 eV for the cell shown
# density: 4.94 Mg/m³
# energy relative to the elements, uncorrected: -2684 meV per atom
# density of states at the Fermi level: 0.2 states/eV per cell

***

# NaLaHgF6 (PBE, relaxed)
data_NaLaHgF6
_cell_length_a 6.2457
_cell_length_b 6.2457
_cell_length_c 9.1771
_cell_angle_alpha 90.00
_cell_angle_beta 90.00
_cell_angle_gamma 120.00
_symmetry_space_group_name_H-M 'P -3 1 c'
_symmetry_Int_Tables_number 163
_symmetry_space_group_name_Hall '-P 3 2c'
loop_
_atom_site_label
_atom_site_fract_x
_atom_site_fract_y
_atom_site_fract_z
_atom_site_occupancy
Na1 0.0000 0.0000 0.0000 1
La1 0.3333 0.6667 0.2500 1
Hg1 0.3333 0.6667 0.7500 1
F1 0.0000 0.3387 0.1271 1
# electronic total energy: -86.88 eV for the cell shown
# density: 5.10 Mg/m³
# energy relative to the elements, uncorrected: -2852 meV per atom
# density of states at the Fermi level: 0.0 states/eV per cell